The following is a DFT calculation (GGA-PBE) of Ca3Zn2Si4 after structural relaxation.

Output
The value obtained for the size of the total moment is 0.00 μB per formula unit. The uncorrected formation energy comes out at -0.442 eV/atom.

Cell lengths 11.1882, 4.1561, 8.2745 Å; angles 90.00, 98.25, 90.00 degrees
Space group C2/m (No. 12)
Symmetry-distinct sites (fractional):
Ca  0.0000  0.0000  0.0000 x2
Ca  0.1621  0.5000  0.6702 x4
Zn  0.1138  0.5000  0.2838 x4
Si  0.0588  0.0000  0.3918 x4
Si  0.2178  0.5000  0.0520 x4

---

The following is a DFT calculation (GGA-PBE) of Sr4Cd2F after structural relaxation.

Output
The value obtained for the size of the total moment is 0.00 μB per formula unit. The uncorrected formation energy comes out at -0.924 eV/atom.

Cell lengths 5.1157, 5.1157, 18.8041 Å; angles 90.00, 90.00, 90.00 degrees
Space group I4/mmm (No. 139)
Symmetry-distinct sites (fractional):
Sr  0.0000  0.0000  0.1866 x4
Sr  0.0000  0.5000  0.0000 x4
Cd  0.0000  0.0000  0.3701 x4
F  0.0000  0.0000  0.0000 x2

---

The following is a DFT calculation (GGA-PBE) of HoTiFe11N after structural relaxation.

Output
The value obtained for the size of the total moment is 23.31 μB per formula unit. The uncorrected formation energy comes out at -0.184 eV/atom.

Cell lengths 4.7860, 8.5959, 8.5326 Å; angles 90.00, 90.00, 90.00 degrees
Space group Imm2 (No. 44)
Symmetry-distinct sites (fractional):
Ho  0.0000  0.0000  0.0000 x2
Ti  0.0000  0.0000  0.3731 x2
Fe  0.0000  0.0000  0.6504 x2
Fe  0.0000  0.2781  0.5102 x4
Fe  0.0000  0.3588  0.0074 x4
Fe  0.0000  0.5000  0.2809 x2
Fe  0.0000  0.5000  0.7301 x2
Fe  0.2495  0.2482  0.7570 x8
N  0.0000  0.5000  0.5059 x2